An optimized crystal structure of K3BiBr8, computed with GGA-PBE.

The energy relative to the elements, uncorrected is -0.961 eV per atom. Its total magnetic moment is 0.0 μB/f.u. As for the total energy: -2.67 eV per atom.

The structure in extended XYZ format:
```
12
Lattice="-6.970 -2.188 -1.289 1.149 -6.076 4.099 0.451 8.099 5.166" Properties=species:S:1:pos:R:3 pbc="T T T"
K -4.715 0.890 2.641
K -2.911 -4.132 1.405
K -0.656 -1.054 5.335
Bi 0.000 0.000 0.000
Br -1.912 -1.014 2.150
Br -1.297 -4.269 4.346
Br 0.275 2.022 6.516
Br -0.340 5.277 4.321
Br -5.031 -5.441 3.655
Br -5.646 -2.186 1.460
Br -4.074 4.105 3.630
Br -3.459 0.850 5.826
```

=====

An optimized crystal structure of AgSb2I8, computed with GGA-PBE.

The energy relative to the elements, uncorrected is -0.166 eV per atom. Its total magnetic moment is 0.0 μB/f.u. As for the total energy: -2.30 eV per atom.

The structure in extended XYZ format:
```
11
Lattice="7.594 0.140 0.106 0.275 8.913 -0.307 0.275 2.104 8.666" Properties=species:S:1:pos:R:3 pbc="T T T"
Ag 0.000 0.000 0.000
Sb 5.369 8.683 6.588
Sb 2.774 2.474 1.877
I 1.908 4.689 7.974
I 6.235 2.215 6.097
I 2.513 9.274 7.036
I 5.631 1.883 1.429
I 1.908 8.942 2.369
I 6.235 6.468 0.491
I 6.801 6.653 5.048
I 1.342 4.504 3.417
```